a) A plane-wave DFT calculation with PBE-GGA was carried out for a relaxed structure of BaEuPd2.

abc: 3.7827 3.7827 7.5380
angles: 90.00 90.00 90.00
Sites, in units of the cell vectors:
Ba 0.0000 0.0000 0.0000
Eu 0.0000 0.0000 0.5000
Pd 0.5000 0.5000 0.2914
Pd 0.5000 0.5000 0.7086

Computed properties:
Space-group type   P4/mmm (123)
M_tot   6.826 μB/cell



b) A plane-wave DFT calculation with PBE-GGA was carried out for a relaxed structure of BaEuPd2.

abc: 5.3455 5.3455 5.3455
angles: 60.00 60.00 60.00
Sites, in units of the cell vectors:
Ba 0.0000 0.0000 0.0000
Eu 0.5000 0.5000 0.5000
Pd 0.2500 0.2500 0.2500
Pd 0.7500 0.7500 0.7500

Computed properties:
Space-group type   Fm-3m (225)
M_tot   6.863 μB/cell



Q: Which of them is the most stable? A: a).